No. 1
KTl2W | PBEsol | relaxed

The structure belongs to space group Imm2 (No. 44); the cell edges are 2.952, 4.790 and 16.183 Å and the angles 90.00°, 90.00° and 90.00°. The asymmetric unit holds K at (0.000, 0.000, 0.000), Tl at (0.000, 0.000, 0.356), Tl at (0.000, 0.500, 0.181) and W at (0.000, 0.500, 0.705).

Its formation energy is 769.2 meV per atom.


No. 2
Y2ZnCu | PBEsol | relaxed

The structure belongs to space group P4/mmm (No. 123); the cell edges are 4.898, 4.898 and 3.484 Å and the angles 90.00°, 90.00° and 90.00°. The asymmetric unit holds Y at (0.000, 0.500, 0.000), Zn at (0.000, 0.000, 0.500) and Cu at (0.500, 0.500, 0.500).

Its formation energy is -283.7 meV per atom.


No. 3
KTaN2 | PBEsol | relaxed

The structure belongs to space group Fm-3m (No. 225); the cell edges are 5.658, 5.658 and 5.658 Å and the angles 90.00°, 90.00° and 90.00°. The asymmetric unit holds K at (0.000, 0.000, 0.000), Ta at (0.000, 0.000, 0.500) and N at (0.250, 0.250, 0.250).

For the formation energy without anion corrections, the calculation gives 3.4 eV/f.u.


No. 4
SbAs2Au | PBEsol | relaxed

The structure belongs to space group R-3m (No. 166, hexagonal axes); the cell edges are 3.9452, 3.9452 and 18.7354 Å and the angles 90.00°, 90.00° and 120.00°. The asymmetric unit holds Sb at (0.0000, 0.0000, 0.0000), As at (0.0000, 0.0000, 0.2408) and Au at (0.0000, 0.0000, 0.5000).

For the formation energy without anion corrections, the calculation gives 0.1 eV/f.u.


No. 5
DyPPd | PBEsol | relaxed

The structure belongs to space group Pnma (No. 62); the cell edges are 6.801, 3.970 and 7.644 Å and the angles 90.00°, 90.00° and 90.00°. The asymmetric unit holds Dy at (0.028, 0.250, 0.187), P at (0.245, 0.750, 0.378) and Pd at (0.146, 0.250, 0.561).

Its formation energy is -1336.2 meV per atom.


No. 6
LiSc2Ni | PBEsol | relaxed

The structure belongs to space group P4/mmm (No. 123); the cell edges are 3.157, 3.157 and 7.364 Å and the angles 90.00°, 90.00° and 90.00°. The asymmetric unit holds Li at (0.000, 0.000, 0.000), Sc at (0.500, 0.500, 0.298) and Ni at (0.000, 0.000, 0.500).

Its formation energy is -183.3 meV per atom.